Entry 1:
First-principles (PBE) data for a relaxed structure of TaCuIr3, as listed in Alexandria via LeMat-Bulk.

abc: 4.408 4.408 4.408
angles: 90.00 90.00 90.00
Positions (direct):
Ta 0.000 0.000 0.000
Cu 0.500 0.500 0.500
Ir 0.000 0.500 0.500
Ir 0.500 0.000 0.500
Ir 0.500 0.500 0.000

offset from the most stable computed form = 0.0 kJ per mole of atoms
electronic total energy = -36.66 eV/f.u.
formation energy = 1174 meV/atom


Entry 2:
First-principles (PBE) data for a relaxed structure of TlPBr6, as listed in Alexandria via LeMat-Bulk.

abc: 7.554 7.554 7.554
angles: 56.70 56.70 56.70
Positions (direct):
Tl 0.000 0.000 0.000
P 0.500 0.500 0.500
Br 0.115 0.583 0.583
Br 0.417 0.417 0.885
Br 0.417 0.884 0.417
Br 0.583 0.115 0.583
Br 0.583 0.583 0.115
Br 0.885 0.417 0.417

E_form (uncorrected) = -0.2600 eV/atom
electronic total energy = -19.89 eV/f.u.


Entry 3:
First-principles (PBE) data for a relaxed structure of CePmGe2O8, as listed in Alexandria via LeMat-Bulk.

abc: 6.774 6.774 6.774
angles: 135.22 135.22 65.20
Positions (direct):
Ce 0.000 0.000 0.000
Pm 0.250 0.750 0.500
Ge 0.500 0.500 0.000
Ge 0.750 0.250 0.500
O 0.264 0.676 0.098
O 0.324 0.422 0.588
O 0.413 0.019 0.098
O 0.578 0.166 0.902
O 0.685 0.587 0.605
O 0.834 0.736 0.412
O 0.921 0.315 0.902
O 0.981 0.079 0.395

E_form (uncorrected) = -2.3579 eV/atom
electronic total energy = -87.88 eV/f.u.


Entry 4:
First-principles (PBE) data for a relaxed structure of BSe4, as listed in Alexandria via LeMat-Bulk.

abc: 4.503 4.503 4.503
angles: 90.00 90.00 90.00
Positions (direct):
B 0.000 0.000 0.000
Se 0.000 0.000 0.500
Se 0.000 0.500 0.000
Se 0.500 0.000 0.000
Se 0.500 0.500 0.500

E_form (uncorrected) = 0.7762 eV/atom
electronic total energy = -16.73 eV/f.u.


Entry 5:
First-principles (PBE) data for a relaxed structure of Pm5PuRu4, as listed in Alexandria via LeMat-Bulk.

abc: 8.912 8.912 7.214
angles: 108.68 108.68 28.19
Positions (direct):
Pm 0.000 0.000 0.000
Pm 0.327 0.327 0.951
Pm 0.335 0.335 0.461
Pm 0.665 0.665 0.539
Pm 0.673 0.673 0.049
Pu 0.000 0.000 0.500
Ru 0.143 0.143 0.778
Ru 0.487 0.487 0.287
Ru 0.513 0.513 0.713
Ru 0.857 0.857 0.222

electronic total energy = -76.89 eV/f.u.
formation energy = -170 meV/atom


Entry 6:
First-principles (PBE) data for a relaxed structure of CsRb2NaAu2, as listed in Alexandria via LeMat-Bulk.

abc: 5.377 10.258 9.033
angles: 90.00 90.00 90.00
Positions (direct):
Cs 0.000 0.055 0.000
Cs 0.000 0.945 0.500
Rb 0.000 0.331 0.374
Rb 0.000 0.669 0.874
Rb 0.500 0.403 0.032
Rb 0.500 0.597 0.532
Na 0.500 0.193 0.667
Na 0.500 0.807 0.167
Au 0.000 0.335 0.758
Au 0.000 0.665 0.258
Au 0.500 0.111 0.289
Au 0.500 0.889 0.789

electronic total energy = -11.85 eV/f.u.
formation energy = -198 meV/atom


Entry 7:
First-principles (PBE) data for a relaxed structure of Tb2ErPd3, as listed in Alexandria via LeMat-Bulk.

abc: 6.846 6.846 8.157
angles: 106.98 106.98 51.07
Positions (direct):
Tb 0.148 0.196 0.082
Tb 0.196 0.148 0.582
Tb 0.804 0.852 0.418
Tb 0.852 0.804 0.918
Er 0.388 0.612 0.750
Er 0.612 0.388 0.250
Pd 0.113 0.887 0.250
Pd 0.317 0.376 0.417
Pd 0.376 0.317 0.917
Pd 0.624 0.683 0.083
Pd 0.683 0.624 0.583
Pd 0.887 0.113 0.750

electronic total energy = -33.88 eV/f.u.
formation energy = -746 meV/atom


Entry 8:
First-principles (PBE) data for a relaxed structure of Li4Cd5Ag4, as listed in Alexandria via LeMat-Bulk.

abc: 7.789 7.789 7.789
angles: 94.37 94.37 147.94
Positions (direct):
Li 0.150 0.767 0.917
Li 0.233 0.150 0.383
Li 0.767 0.850 0.617
Li 0.850 0.233 0.083
Cd 0.000 0.000 0.000
Cd 0.300 0.542 0.842
Cd 0.458 0.300 0.758
Cd 0.542 0.700 0.242
Cd 0.700 0.458 0.158
Ag 0.078 0.384 0.462
Ag 0.384 0.922 0.305
Ag 0.616 0.078 0.695
Ag 0.922 0.616 0.538

electronic total energy = -25.99 eV/f.u.
formation energy = -181 meV/atom


Entry 9:
First-principles (PBE) data for a relaxed structure of PtRh2Cl, as listed in Alexandria via LeMat-Bulk.

abc: 2.771 4.598 4.890
angles: 90.00 90.00 90.00
Positions (direct):
Pt 0.000 0.000 0.000
Rh 0.000 0.500 0.500
Rh 0.500 0.500 0.000
Cl 0.500 0.000 0.500

E_form (uncorrected) = 0.5937 eV/atom
offset from the most stable computed form = 37.2 kJ per mole of atoms
electronic total energy = -20.22 eV/f.u.


Entry 10:
First-principles (PBE) data for a relaxed structure of Mg2TiTl3Se6, as listed in Alexandria via LeMat-Bulk.

abc: 6.903 6.903 7.689
angles: 98.73 98.73 120.14
Positions (direct):
Mg 0.164 0.836 0.000
Mg 0.836 0.164 0.000
Ti 0.500 0.500 0.000
Tl 0.000 0.000 0.500
Tl 0.330 0.670 0.500
Tl 0.670 0.330 0.500
Se 0.119 0.434 0.807
Se 0.252 0.252 0.200
Se 0.434 0.119 0.807
Se 0.566 0.881 0.193
Se 0.748 0.748 0.800
Se 0.881 0.566 0.193

E_form (uncorrected) = -0.8069 eV/atom
electronic total energy = -48.77 eV/f.u.


Entry 11:
First-principles (PBE) data for a relaxed structure of Th4TcIrS2, as listed in Alexandria via LeMat-Bulk.

abc: 7.048 4.070 7.552
angles: 90.00 108.20 90.00
Positions (direct):
Th 0.238 0.000 0.228
Th 0.254 0.500 0.776
Th 0.746 0.500 0.224
Th 0.762 0.000 0.772
Tc 0.000 0.500 0.000
Ir 0.500 0.000 0.000
S 0.000 0.000 0.500
S 0.500 0.500 0.500

E_form (uncorrected) = -1.1184 eV/atom
electronic total energy = -66.11 eV/f.u.


Entry 12:
First-principles (PBE) data for a relaxed structure of ZnPdF2, as listed in Alexandria via LeMat-Bulk.

abc: 5.840 5.840 5.840
angles: 90.00 90.00 90.00
Positions (direct):
Zn 0.000 0.000 0.000
Zn 0.000 0.500 0.500
Zn 0.500 0.000 0.500
Zn 0.500 0.500 0.000
Pd 0.000 0.000 0.500
Pd 0.000 0.500 0.000
Pd 0.500 0.000 0.000
Pd 0.500 0.500 0.500
F 0.250 0.250 0.250
F 0.250 0.250 0.750
F 0.250 0.750 0.250
F 0.250 0.750 0.750
F 0.750 0.250 0.250
F 0.750 0.250 0.750
F 0.750 0.750 0.250
F 0.750 0.750 0.750

E_form (uncorrected) = -0.8267 eV/atom
offset from the most stable computed form = 35.7 kJ per mole of atoms
electronic total energy = -13.52 eV/f.u.